Compound: LiAl2
Source: Alexandria
Functional: PBE
Structure: relaxed

Computed properties:
DFT formation energy = -52 meV per atom
Energy relative to the lowest polymorph listed for this composition = 57 meV per atom
Calculated density = 2.03 g/cm3
Energy = -19.1 eV for the cell shown
DOS at the Fermi energy = 0.98 states/eV/f.u.

abc: 5.461 5.461 6.675
angles: 75.44 75.44 31.17
Positions (direct):
Al1 0.003 0.003 0.005
Al2 0.333 0.333 0.329
Al3 0.612 0.612 0.282
Al4 0.942 0.942 0.606
Li1 0.666 0.666 0.664
Li2 0.278 0.278 0.947


Compound: CaTl2BrO
Source: Alexandria
Functional: PBE
Structure: relaxed

Computed properties:
Raw formation energy = -0.445 eV/atom
Calculated density = 5.75 g/cm3
Energy = -15.6 eV for the cell shown
DOS at the Fermi energy = 4.11 states/eV/f.u.

abc: 4.746 6.981 4.746
angles: 90.00 90.00 90.00
Positions (direct):
O1 0.000 0.000 0.000
Tl1 0.000 0.000 0.500
Tl2 0.500 0.000 0.000
Ca1 0.500 0.500 0.500
Br1 0.000 0.500 0.000


Compound: SnBiH2
Source: Alexandria
Functional: PBE
Structure: relaxed

Computed properties:
Energy relative to the lowest polymorph listed for this composition = 302 meV per atom
Calculated density = 8.54 g/cm3
Energy = -12.0 eV for the cell shown
DOS at the Fermi energy = 1.36 states/eV/f.u.

abc: 4.492 4.492 4.492
angles: 60.00 60.00 60.00
Positions (direct):
H1 0.250 0.250 0.250
H2 0.750 0.750 0.750
Bi1 0.500 0.500 0.500
Sn1 0.000 0.000 0.000


Compound: Pu2InGe
Source: Alexandria
Functional: PBE
Structure: relaxed

Computed properties:
DFT formation energy = -286 meV per atom
Calculated density = 11.71 g/cm3
Energy = -37.2 eV for the cell shown
DOS at the Fermi energy = 13.69 states/eV/f.u.

abc: 3.945 3.945 6.156
angles: 90.00 90.00 90.00
Positions (direct):
Ge1 0.500 0.500 0.000
In1 0.500 0.500 0.500
Pu1 0.000 0.000 0.775
Pu2 0.000 0.000 0.225


Compound: KAg2HgF8
Source: Alexandria
Functional: PBE
Structure: relaxed

Computed properties:
Raw formation energy = -1.454 eV/atom
Calculated density = 5.36 g/cm3
Energy = -39.5 eV for the cell shown
DOS at the Fermi energy = 2.24 states/eV/f.u.

abc: 6.038 6.038 6.697
angles: 116.79 116.79 90.00
Positions (direct):
K1 0.750 0.250 0.500
Ag1 0.500 0.500 0.000
Ag2 0.250 0.750 0.500
Hg1 0.000 0.000 0.000
F1 0.802 0.674 0.984
F2 0.183 0.310 0.984
F3 0.567 0.672 0.506
F4 0.939 0.834 0.506
F5 0.166 0.433 0.494
F6 0.328 0.061 0.494
F7 0.326 0.817 0.016
F8 0.690 0.198 0.016


Compound: Sm2TmRu
Source: Alexandria
Functional: PBE
Structure: relaxed

Computed properties:
DFT formation energy = -252 meV per atom
Energy relative to the lowest polymorph listed for this composition = 19 meV per atom
Calculated density = 8.68 g/cm3
Energy = -48.4 eV for the cell shown
DOS at the Fermi energy = 2.69 states/eV/f.u.

abc: 3.991 6.273 9.204
angles: 90.00 90.00 108.55
Positions (direct):
Sm1 0.359 0.719 0.567
Sm2 0.641 0.281 0.433
Sm3 0.359 0.719 0.933
Sm4 0.641 0.281 0.067
Tm1 0.920 0.841 0.250
Tm2 0.080 0.159 0.750
Ru1 0.740 0.480 0.750
Ru2 0.260 0.520 0.250